Compound: AcErAs2Pd2
Source: Alexandria
Functional: PBE
Structure: optimized geometry

a b c (Å): 4.4210 4.4210 7.8010
angles (deg): 90.00 90.00 120.00
Space group P-3m1 (No. 164)
Asymmetric unit:
Ac: 0.0000 0.0000 0.0000 [1 per cell]
Er: 0.0000 0.0000 0.5000 [1 per cell]
As: 0.3333 0.6667 0.2666 [2 per cell]
Pd: 0.3333 0.6667 0.7133 [2 per cell]

Results
ΔE_f: -1.18 eV/atom

Compound: AlCr3Ge
Source: Alexandria
Functional: PBE
Structure: optimized geometry

a b c (Å): 4.551 4.551 4.551
angles (deg): 90.00 90.00 90.00
Space group Pm-3m (No. 221)
Asymmetric unit:
Al: 0.000 0.000 0.000 [1 per cell]
Cr: 0.000 0.500 0.500 [3 per cell]
Ge: 0.500 0.500 0.500 [1 per cell]

Results
ΔE_f: 0.93 eV/atom
excess energy over the best structure of this formula in the dataset: 0 meV per atom

Compound: ScAl
Source: Alexandria
Functional: PBE
Structure: optimized geometry

a b c (Å): 5.506 5.506 5.506
angles (deg): 90.00 90.00 90.00
Space group P2_13 (No. 198)
Asymmetric unit:
Sc: 0.091 0.091 0.091 [4 per cell]
Al: 0.096 0.596 0.904 [4 per cell]

Results
ΔE_f: -0.17 eV/atom

Compound: Zr3NbN
Source: Alexandria
Functional: PBE
Structure: optimized geometry

a b c (Å): 5.042 5.042 5.042
angles (deg): 90.00 90.00 90.00
Space group Pm-3m (No. 221)
Asymmetric unit:
Zr: 0.000 0.000 0.500 [3 per cell]
Nb: 0.000 0.000 0.000 [1 per cell]
N: 0.500 0.500 0.500 [1 per cell]

Results
excess energy over the best structure of this formula in the dataset: 2535 meV per atom
ΔE_f (raw): 1.882 eV per atom